Record 1
A geometry-optimized AcZn6 structure. Source: the Alexandria database, functional PBE.

a b c (Å): 5.787 5.787 5.787
angles (deg): 90.00 90.00 90.00
Fractional positions:
Ac (0.000, 0.000, 0.000)
Zn (0.194, 0.500, 0.500)
Zn (0.500, 0.194, 0.500)
Zn (0.500, 0.500, 0.194)
Zn (0.500, 0.500, 0.806)
Zn (0.500, 0.806, 0.500)
Zn (0.806, 0.500, 0.500)

## Properties
Total energy (Ry/atom): -0.099
Formation enthalpy at 0 K (eV per atom): 0.3339
Space group: No. 221
ρ (Mg/m³): 5.3
Energy above the lowest structure with this stoichiometry (kcal/mol of atoms): 6.48

Record 2
A geometry-optimized CaCdRe2 structure. Source: the Alexandria database, functional PBE.

a b c (Å): 5.627 9.964 2.725
angles (deg): 90.00 108.78 90.00
Fractional positions:
Ca (0.000, 0.000, 0.000)
Ca (0.500, 0.500, 0.000)
Cd (0.000, 0.500, 0.000)
Cd (0.500, 0.000, 0.000)
Re (0.250, 0.250, 0.500)
Re (0.250, 0.750, 0.500)
Re (0.750, 0.250, 0.500)
Re (0.750, 0.750, 0.500)

## Properties
Total energy (Ry/atom): -0.460
Formation enthalpy at 0 K (eV per atom): 0.6916
Space group: No. 12
ρ (Mg/m³): 12.1

Record 3
A geometry-optimized NdGa2CuPd structure. Source: the Alexandria database, functional PBE.

a b c (Å): 4.318 4.318 10.179
angles (deg): 90.00 90.00 90.00
Fractional positions:
Nd (0.000, 0.000, 0.000)
Nd (0.500, 0.500, 0.500)
Ga (0.000, 0.000, 0.374)
Ga (0.000, 0.000, 0.626)
Ga (0.500, 0.500, 0.126)
Ga (0.500, 0.500, 0.874)
Cu (0.000, 0.500, 0.750)
Cu (0.500, 0.000, 0.250)
Pd (0.000, 0.500, 0.250)
Pd (0.500, 0.000, 0.750)

## Properties
Total energy (Ry/atom): -0.339
Formation enthalpy at 0 K (eV per atom): -0.5888
Space group: No. 119
ρ (Mg/m³): 7.9

Record 4
A geometry-optimized Y2TcW structure. Source: the Alexandria database, functional PBE.

a b c (Å): 3.258 4.223 6.844
angles (deg): 90.00 103.75 90.00
Fractional positions:
Y (0.000, 0.000, 0.000)
Y (0.277, 0.500, 0.644)
Tc (0.741, 0.500, 0.242)
W (0.589, 0.000, 0.400)

## Properties
Total energy (Ry/atom): -0.644
Formation enthalpy at 0 K (eV per atom): 0.2973
Space group: No. 6
ρ (Mg/m³): 8.3
Energy above the lowest structure with this stoichiometry (kcal/mol of atoms): 5.11